Computed, not measured: a relaxed structure of Tm4SnHgN at the GGA-PBE level of DFT.

The structure in extended XYZ format:
```
14
Lattice="6.562 0.000 0.000 0.000 6.551 0.000 -3.281 0.000 7.730" Properties=species:S:1:pos:R:3 pbc="T T T"
Tm 3.281 1.638 1.386
Tm 1.641 0.000 3.865
Tm 3.281 1.638 6.468
Tm -1.641 3.276 3.865
Tm 0.000 4.913 6.344
Tm 0.000 4.913 1.262
Tm -1.641 0.000 3.865
Tm 1.641 3.276 3.865
N 3.281 1.638 3.840
N 0.000 4.913 3.890
Hg 3.281 4.913 5.965
Hg 0.000 1.638 1.765
Sn 0.000 1.638 6.034
Sn 3.281 4.913 1.696
```

Results
ΔE_f (raw) ... -870 meV/atom
Space-group type ... Cmcm